1.
VASP calculation (PBE-GGA) on a relaxed YSi3Pt6 crystal.

Results
- Formation energy from raw total energies: -0.832 eV per atom
- Calculated total energy: -6.73 eV/atom
- Space group: No. 11

abc: 4.092 8.570 9.717
angles: 92.99 90.00 90.00
Fractional positions:
Y 0.750 0.064 0.684
Y 0.250 0.936 0.316
Pt 0.750 0.446 0.581
Pt 0.750 0.419 0.071
Pt 0.250 0.554 0.419
Pt 0.250 0.313 0.740
Pt 0.250 0.815 0.612
Pt 0.250 0.117 0.960
Pt 0.750 0.687 0.260
Pt 0.250 0.286 0.221
Pt 0.750 0.185 0.388
Pt 0.750 0.714 0.779
Pt 0.250 0.581 0.929
Pt 0.750 0.883 0.040
Si 0.250 0.859 0.871
Si 0.750 0.430 0.830
Si 0.750 0.719 0.508
Si 0.750 0.141 0.129
Si 0.250 0.570 0.170
Si 0.250 0.281 0.492


2.
VASP calculation (PBE-GGA) on a relaxed Y2SiPt6 crystal.

Results
- Formation energy from raw total energies: -1.073 eV per atom
- Calculated total energy: -7.14 eV/atom
- Space group: No. 12

abc: 5.637 5.613 6.120
angles: 77.57 90.00 120.14
Fractional positions:
Y 0.355 0.711 0.857
Y 0.645 0.289 0.143
Pt 0.123 0.245 0.296
Pt 0.877 0.265 0.695
Pt 0.123 0.735 0.305
Pt 0.877 0.755 0.704
Pt 0.388 0.265 0.695
Pt 0.612 0.735 0.305
Si 0.000 0.000 0.000


3.
VASP calculation (PBE-GGA) on a relaxed YSi2Pt6 crystal.

Results
- Formation energy from raw total energies: -0.807 eV per atom
- Calculated total energy: -6.76 eV/atom
- Space group: No. 191

abc: 5.540 5.540 6.394
angles: 90.00 90.00 120.00
Fractional positions:
Pt 0.500 0.500 0.780
Pt 0.000 0.500 0.780
Pt 0.500 0.000 0.780
Pt 0.000 0.500 0.220
Pt 0.500 0.500 0.220
Pt 0.500 0.000 0.220
Si 0.333 0.667 0.500
Si 0.667 0.333 0.500
Y 0.000 0.000 0.000


4.
VASP calculation (PBE-GGA) on a relaxed YSiPt3 crystal.

Results
- Polymorph energy (0 for the lowest one): 41.90 kJ/mol of atoms
- Formation energy from raw total energies: -0.660 eV per atom
- Calculated total energy: -6.66 eV/atom
- Space group: No. 221

abc: 4.608 4.608 4.608
angles: 90.00 90.00 90.00
Fractional positions:
Pt 0.000 0.500 0.000
Pt 0.500 0.000 0.000
Pt 0.000 0.000 0.500
Y 0.500 0.500 0.500
Si 0.000 0.000 0.000


Question: Which value of calculated total energy does entry 2 give?
Answer: -7.14 eV/atom


Question: The lowest formation energy from raw total energies belongs to which entry?
Answer: Y2SiPt6